{"formula": "Hg2OsWO", "functional": "PBE with a Hubbard U", "state": "optimized geometry", "lattice_angstrom": [[5.4968, 0.0000, 0.0000], [0.0000, 5.4968, 0.0000], [0.0000, 0.0000, 3.6483]], "species": ["Hg", "Hg", "Os", "W", "O"], "frac_coords": [[0.0000, 0.5000, 0.0000], [0.5000, 0.0000, 0.0000], [0.0000, 0.0000, 0.0000], [0.5000, 0.5000, 0.5000], [0.0000, 0.0000, 0.5000]], "n_ef_per_ev_cell": 3.20, "final_energy_ev_per_fu": -20.56, "m_tot_mub_per_cell": 4.8}